[1]
Density functional theory data (PBE) for an optimized crystal structure of Sm6GaCo.

Structure (extended XYZ):
```
8
Lattice="3.687 -5.243 0.000 3.687 5.243 0.000 -1.606 0.000 6.360" Properties=species:S:1:pos:R:3 pbc="T T T"
Sm 1.280 3.378 4.663
Sm 0.727 0.000 5.262
Sm 4.489 3.378 1.697
Sm 1.280 -3.378 4.663
Sm 5.042 0.000 1.098
Sm 4.489 -3.378 1.697
Ga 2.884 0.000 3.180
Co 0.000 0.000 0.000
```

Values from the calculation:
* formation energy: -0.02 eV per atom
* calculated density: 6.96 g/cm³


[2]
Density functional theory data (PBE) for an optimized crystal structure of Tl2InHgBi.

Structure (extended XYZ):
```
10
Lattice="7.457 0.000 0.000 0.000 5.333 0.000 -2.312 0.000 7.951" Properties=species:S:1:pos:R:3 pbc="T T T"
Tl -0.278 1.333 1.493
Tl 1.545 4.000 4.844
Tl 3.600 1.333 3.107
Tl 5.423 4.000 6.457
In 0.229 1.333 7.595
In 4.916 4.000 0.356
Hg -0.641 1.333 4.723
Hg 5.786 4.000 3.228
Bi 1.984 4.000 1.507
Bi 3.161 1.333 6.443
```

Values from the calculation:
* formation energy: -0.01 eV per atom
* offset from the most stable computed form: 0.000 eV/atom
* calculated density: 9.80 g/cm³


[3]
Density functional theory data (PBE) for an optimized crystal structure of Er6TlOs2.

Structure (extended XYZ):
```
18
Lattice="-4.679 4.749 5.189 4.679 -4.749 5.189 4.679 4.749 -5.189" Properties=species:S:1:pos:R:3 pbc="T T T"
Er 4.679 2.753 -2.674
Er 2.636 1.754 0.000
Er 6.722 1.754 0.000
Er 1.760 4.749 -1.750
Er 2.919 0.000 3.439
Er 0.000 1.996 2.515
Er 4.679 2.753 2.674
Er 1.760 4.749 1.750
Er 2.919 0.000 6.939
Er -2.043 2.995 5.189
Er 2.043 2.995 5.189
Er 0.000 1.996 7.864
Tl 0.000 0.000 0.000
Tl 0.000 0.000 5.189
Os 4.679 0.000 1.260
Os 0.000 3.180 0.000
Os 0.000 6.318 0.000
Os 0.000 4.749 3.929
```

Values from the calculation:
* formation energy: -0.30 eV per atom
* calculated density: 11.44 g/cm³


- Which formula does entry 3 have?
  Er6TlOs2


Copy entry 2 word for word.
Density functional theory data (PBE) for an optimized crystal structure of Tl2InHgBi.

Structure (extended XYZ):
```
10
Lattice="7.457 0.000 0.000 0.000 5.333 0.000 -2.312 0.000 7.951" Properties=species:S:1:pos:R:3 pbc="T T T"
Tl -0.278 1.333 1.493
Tl 1.545 4.000 4.844
Tl 3.600 1.333 3.107
Tl 5.423 4.000 6.457
In 0.229 1.333 7.595
In 4.916 4.000 0.356
Hg -0.641 1.333 4.723
Hg 5.786 4.000 3.228
Bi 1.984 4.000 1.507
Bi 3.161 1.333 6.443
```

Values from the calculation:
* formation energy: -0.01 eV per atom
* offset from the most stable computed form: 0.000 eV/atom
* calculated density: 9.80 g/cm³


- Which formula does entry 1 have?
  Sm6GaCo


- Look up the formation energy of the second one.
  -0.01 eV per atom